ZnMoRh2: optimized geometry, GGA-PBEsol.

Calculated formation energy, eV/atom: 0.13
Theoretical density, g/cm3: 10.9
Crystal system: cubic

Lattice parameters (Å, degrees): 4.290 4.290 4.290 60.00 60.00 60.00
Sites, in units of the cell vectors:
Zn 0.250 0.250 0.250
Rh 0.750 0.750 0.750
Rh 0.000 0.000 0.000
Mo 0.500 0.500 0.500


Sr3In4Pb: optimized geometry, GGA-PBEsol.

Calculated formation energy, eV/atom: -0.52
Theoretical density, g/cm3: 6.4
Crystal system: orthorhombic

Lattice parameters (Å, degrees): 5.036 6.398 16.373 90.00 90.00 113.18
Sites, in units of the cell vectors:
In 0.386 0.773 0.536
Sr 0.910 0.819 0.392
In 0.614 0.227 0.036
Sr 0.638 0.276 0.250
Sr 0.090 0.181 0.892
Sr 0.362 0.724 0.750
In 0.793 0.585 0.597
In 0.207 0.415 0.097
Sr 0.090 0.181 0.608
Pb 0.348 0.696 0.250
Pb 0.652 0.304 0.750
In 0.614 0.227 0.464
In 0.793 0.585 0.903
Sr 0.910 0.819 0.108
In 0.386 0.773 0.964
In 0.207 0.415 0.403


ZrPt3: optimized geometry, GGA-PBEsol.

Calculated formation energy, eV/atom: -0.99
Theoretical density, g/cm3: 17.5
Crystal system: tetragonal

Lattice parameters (Å, degrees): 3.966 3.966 4.948 113.63 113.63 90.00
Sites, in units of the cell vectors:
Pt 0.250 0.750 0.500
Pt 0.000 0.000 0.000
Zr 0.500 0.500 0.000
Pt 0.750 0.250 0.500


Zr2PtAu: optimized geometry, GGA-PBEsol.

Calculated formation energy, eV/atom: -0.71
Theoretical density, g/cm3: 13.0
Crystal system: tetragonal

Lattice parameters (Å, degrees): 4.336 4.964 4.336 115.90 90.00 115.90
Sites, in units of the cell vectors:
Pt 0.000 0.000 0.000
Zr 0.250 0.500 0.750
Au 0.500 0.000 0.500
Zr 0.750 0.500 0.250


CdP2Ru: optimized geometry, GGA-PBEsol.

Calculated formation energy, eV/atom: 0.01
Theoretical density, g/cm3: 6.5
Crystal system: orthorhombic

Lattice parameters (Å, degrees): 2.838 3.608 6.868 90.00 90.00 90.00
Sites, in units of the cell vectors:
Ru 0.000 0.000 0.315
P 0.000 0.000 0.992
P 0.500 0.500 0.411
Cd 0.500 0.500 0.782


TlCuF3: optimized geometry, GGA-PBEsol.

Uncorrected energy, eV per atom: -4.1672
Theoretical density, g/cm3: 8.1
Crystal system: cubic

Lattice parameters (Å, degrees): 4.057 4.057 4.057 90.00 90.00 90.00
Sites, in units of the cell vectors:
F 0.000 0.500 0.000
Cu 0.000 0.000 0.000
Tl 0.500 0.500 0.500
F 0.500 0.000 0.000
F 0.000 0.000 0.500


LiAuS4O14: optimized geometry, GGA-PBEsol.

Uncorrected energy, eV per atom: -6.0423
Theoretical density, g/cm3: 3.3
Crystal system: triclinic

Lattice parameters (Å, degrees): 5.388 6.591 8.570 107.19 92.19 102.11
Sites, in units of the cell vectors:
O 0.905 0.517 0.825
O 0.765 0.860 0.863
O 0.580 0.257 0.903
O 0.736 0.152 0.627
O 0.095 0.483 0.175
O 0.420 0.743 0.097
O 0.142 0.341 0.411
O 0.449 0.407 0.701
S 0.066 0.261 0.225
S 0.653 0.305 0.757
O 0.551 0.593 0.299
S 0.934 0.739 0.775
O 0.797 0.170 0.200
O 0.264 0.848 0.373
Li 0.500 0.000 0.000
S 0.347 0.695 0.243
O 0.235 0.140 0.137
Au 0.500 0.500 0.500
O 0.203 0.830 0.800
O 0.858 0.659 0.589


NbBiO3: optimized geometry, GGA-PBEsol.

Uncorrected energy, eV per atom: -6.2272
Theoretical density, g/cm3: 7.5
Crystal system: cubic

Lattice parameters (Å, degrees): 4.272 4.272 4.272 90.00 90.00 90.00
Site moments in Bohr magnetons follow the coordinates.
Sites, in units of the cell vectors:
O 0.000 0.500 0.000  -0.03
O 0.500 0.000 0.000  -0.03
Nb 0.500 0.500 0.500  2.54
O 0.000 0.000 0.500  -0.03
Bi 0.000 0.000 0.000  0.01


Zr2ZnFe: optimized geometry, GGA-PBEsol.

Calculated formation energy, eV/atom: 0.06
Theoretical density, g/cm3: 8.0
Crystal system: cubic

Lattice parameters (Å, degrees): 4.472 4.472 4.472 60.00 60.00 60.00
Sites, in units of the cell vectors:
Zr 0.000 0.000 0.000
Zn 0.750 0.750 0.750
Fe 0.500 0.500 0.500
Zr 0.250 0.250 0.250


CaPb7: optimized geometry, GGA-PBEsol.

Calculated formation energy, eV/atom: -0.16
Theoretical density, g/cm3: 10.6
Crystal system: cubic

Lattice parameters (Å, degrees): 6.912 6.912 6.912 60.00 60.00 60.00
Sites, in units of the cell vectors:
Pb 0.500 0.500 0.500
Pb 0.000 0.500 0.000
Pb 0.500 0.000 0.500
Pb 0.000 0.500 0.500
Ca 0.000 0.000 0.000
Pb 0.500 0.000 0.000
Pb 0.000 0.000 0.500
Pb 0.500 0.500 0.000


GaSnIr2N: optimized geometry, GGA-PBEsol.

Uncorrected energy, eV per atom: -4.9460
Theoretical density, g/cm3: 9.2
Crystal system: tetragonal

Lattice parameters (Å, degrees): 4.519 4.519 5.173 90.00 90.00 90.00
Site moments in Bohr magnetons follow the coordinates.
Sites, in units of the cell vectors:
Ir 0.500 0.000 0.000  0.58
Sn 0.000 0.000 0.500  -0.04
N 0.500 0.500 0.500  1.44
Ga 0.000 0.000 0.000  -0.02
Ir 0.000 0.500 0.000  0.58


AsPtRh: optimized geometry, GGA-PBEsol.

Calculated formation energy, eV/atom: -0.29
Theoretical density, g/cm3: 13.0
Crystal system: cubic

Lattice parameters (Å, degrees): 4.068 4.068 4.068 60.00 60.00 60.00
Sites, in units of the cell vectors:
Rh 0.500 0.500 0.500
Pt 0.000 0.000 0.000
As 0.250 0.250 0.250


Please write out number 3 again, unchanged.
ZrPt3: optimized geometry, GGA-PBEsol.

Calculated formation energy, eV/atom: -0.99
Theoretical density, g/cm3: 17.5
Crystal system: tetragonal

Lattice parameters (Å, degrees): 3.966 3.966 4.948 113.63 113.63 90.00
Sites, in units of the cell vectors:
Pt 0.250 0.750 0.500
Pt 0.000 0.000 0.000
Zr 0.500 0.500 0.000
Pt 0.750 0.250 0.500